Density functional theory data (GGA+U) for an optimized crystal structure of LiCoNF2.

Summary:
For the calculated volume, the calculation gives 10.507 A^3/atom. The calculation puts the mass density at 3.73 g/cm3. The total energy is -20.854 eV/cell. The value obtained for the density of states at the Fermi level is 2.32 states/eV/cell.

a = 3.3572 Å, b = 3.3572 Å, c = 4.6613 Å
α = 90.00°, β = 90.00°, γ = 90.00°
Fractional coordinates of all 5 atoms:
N  0.0000  0.0000  0.5000
Co  0.5000  0.5000  0.5000
Li  0.0000  0.0000  0.0000
F  0.0000  0.5000  0.0000
F  0.5000  0.0000  0.0000